1.
A relaxed structure of SnHgMoOs2. Source: Alexandria, functional PBE-GGA.

## Properties
The calculation puts the energy above the most stable polymorph in this dataset at 955 meV/atom. Its crystal system is tetragonal. For the formation energy, the calculation gives 2.628 eV/atom.

Cell lengths 4.799, 4.799, 5.040 Å; angles 90.00, 90.00, 90.00 degrees
Space group P4/mmm (No. 123)
Symmetry-distinct sites (fractional):
Sn (0.000, 0.000, 0.000) (multiplicity 1)
Hg (0.000, 0.000, 0.500) (multiplicity 1)
Mo (0.500, 0.500, 0.500) (multiplicity 1)
Os (0.000, 0.500, 0.000) (multiplicity 2)

***

2.
A relaxed structure of Ni5Te3S12. Source: Alexandria, functional PBE-GGA.

## Properties
Its crystal system is cubic. The total energy comes out at -4.426 eV per atom.

Cell lengths 14.454, 14.454, 14.454 Å; angles 90.00, 90.00, 90.00 degrees
Space group Ia-3d (No. 230)
Symmetry-distinct sites (fractional):
Ni (0.000, 0.000, 0.000) (multiplicity 16)
Ni (0.000, 0.250, 0.375) (multiplicity 24)
Te (0.000, 0.250, 0.125) (multiplicity 24)
S (0.030, 0.052, 0.648) (multiplicity 96)

***

3.
A relaxed structure of LiTh2As3Pd4. Source: Alexandria, functional PBE-GGA.

## Properties
Its crystal system is tetragonal. For the formation energy, the calculation gives -0.869 eV/atom.

Cell lengths 4.191, 4.191, 10.841 Å; angles 90.00, 90.00, 90.00 degrees
Space group P-4m2 (No. 115)
Symmetry-distinct sites (fractional):
Li (0.000, 0.000, 0.000) (multiplicity 1)
Th (0.000, 0.500, 0.740) (multiplicity 2)
As (0.000, 0.500, 0.361) (multiplicity 2)
As (0.500, 0.500, 0.000) (multiplicity 1)
Pd (0.000, 0.000, 0.500) (multiplicity 1)
Pd (0.000, 0.500, 0.136) (multiplicity 2)
Pd (0.500, 0.500, 0.500) (multiplicity 1)

***

4.
A relaxed structure of TmGeBiO6. Source: Alexandria, functional PBE-GGA.

## Properties
Its crystal system is trigonal. The total energy comes out at -6.459 eV per atom.

Cell lengths 5.3497, 5.3497, 4.5825 Å; angles 90.00, 90.00, 120.00 degrees
Space group P312 (No. 149)
Symmetry-distinct sites (fractional):
Tm (0.0000, 0.0000, 0.0000) (multiplicity 1)
Ge (0.3333, 0.6667, 0.0000) (multiplicity 1)
Bi (0.6667, 0.3333, 0.5000) (multiplicity 1)
O (0.0266, 0.3676, 0.2367) (multiplicity 6)

***

5.
A relaxed structure of HfMoRu. Source: Alexandria, functional PBE-GGA.

## Properties
The calculation puts the energy above the most stable polymorph in this dataset at 166 meV/atom. Its crystal system is tetragonal. For the formation energy, the calculation gives -0.201 eV/atom.

Cell lengths 3.216, 3.216, 9.738 Å; angles 90.00, 90.00, 90.00 degrees
Space group I4mm (No. 107)
Symmetry-distinct sites (fractional):
Hf (0.000, 0.000, 0.000) (multiplicity 2)
Mo (0.000, 0.000, 0.675) (multiplicity 2)
Ru (0.000, 0.000, 0.332) (multiplicity 2)

***

6.
A relaxed structure of Na4AgCl5. Source: Alexandria, functional PBE-GGA.

## Properties
The calculation puts the energy above the most stable polymorph in this dataset at 3 meV/atom. Its crystal system is trigonal.

Cell lengths 4.0268, 4.0268, 48.7859 Å; angles 90.00, 90.00, 120.00 degrees
Space group R-3m (No. 166, hexagonal axes)
Symmetry-distinct sites (fractional):
Na (0.0000, 0.0000, 0.1008) (multiplicity 6)
Na (0.0000, 0.0000, 0.2998) (multiplicity 6)
Ag (0.0000, 0.0000, 0.5000) (multiplicity 3)
Cl (0.0000, 0.0000, 0.0000) (multiplicity 3)
Cl (0.0000, 0.0000, 0.1991) (multiplicity 6)
Cl (0.0000, 0.0000, 0.4005) (multiplicity 6)

***

7.
A relaxed structure of BeCuRh2. Source: Alexandria, functional PBE-GGA.

## Properties
Its crystal system is monoclinic. For the formation energy, the calculation gives 0.005 eV/atom.

Cell lengths 5.244, 8.109, 2.669 Å; angles 90.00, 116.20, 90.00 degrees
Space group C2/m (No. 12)
Symmetry-distinct sites (fractional):
Be (0.000, 0.000, 0.000) (multiplicity 2)
Cu (0.000, 0.500, 0.000) (multiplicity 2)
Rh (0.250, 0.250, 0.500) (multiplicity 4)

***

8.
A relaxed structure of Tm3Ge2Au. Source: Alexandria, functional PBE-GGA.

## Properties
Its crystal system is orthorhombic. For the formation energy, the calculation gives -0.782 eV/atom.

Cell lengths 11.469, 4.277, 11.314 Å; angles 90.00, 90.00, 90.00 degrees
Space group Pnma (No. 62)
Symmetry-distinct sites (fractional):
Tm (0.052, 0.250, 0.123) (multiplicity 4)
Tm (0.127, 0.750, 0.565) (multiplicity 4)
Tm (0.212, 0.250, 0.809) (multiplicity 4)
Ge (0.006, 0.750, 0.308) (multiplicity 4)
Ge (0.184, 0.750, 0.011) (multiplicity 4)
Au (0.132, 0.250, 0.368) (multiplicity 4)